1.
TaGaCo | PBE | optimized geometry

Results
Its total energy is -7.59 eV per atom. The total moment is 0.0 μB per formula unit.

Cell: 7.1091 4.2761 6.8709 Å, 90.00 118.36 90.00°
Closest atoms and distances in Å follow each position.
Atoms (fractional coordinates):
Ta (0.0000, 0.0000, 0.0000)  4 Co 2.44-2.65
Ta (0.0996, 0.0000, 0.5078)  4 Co 2.43-2.52
Ta (0.5000, 0.5000, 0.0000)  4 Co 2.44-2.65
Ta (0.5996, 0.5000, 0.5078)  4 Co 2.43-2.52
Ga (0.0426, 0.5000, 0.7457)  4 Co 2.49-2.61, 1 Ta 2.78
Ga (0.4410, 0.0000, 0.2309)  4 Co 2.45-2.62, 2 Ta 2.72
Ga (0.5426, 0.0000, 0.7457)  4 Co 2.49-2.61, 1 Ta 2.78
Ga (0.9410, 0.5000, 0.2309)  4 Co 2.45-2.62, 2 Ta 2.72
Co (0.2466, 0.5000, 0.1576)  4 Ga 2.45-2.49, 4 Ta 2.50-2.65
Co (0.3071, 0.5000, 0.5969)  4 Ta 2.43-2.50, 4 Ga 2.53-2.62
Co (0.7466, 0.0000, 0.1576)  4 Ga 2.45-2.49, 4 Ta 2.50-2.65
Co (0.8071, 0.0000, 0.5969)  4 Ta 2.43-2.50, 4 Ga 2.53-2.62


2.
La2Y2In | PBE | optimized geometry

Results
Its total energy is -5.24 eV per atom. The total moment is 0.0 μB per formula unit. For the polymorph energy (0 for the lowest one), the calculation gives 54 meV per atom.

Cell: 9.5475 5.5457 6.7801 Å, 90.00 117.52 90.00°
Closest atoms and distances in Å follow each position.
Atoms (fractional coordinates):
La (0.1825, 0.0000, 0.0476)  3 La 3.24-3.25, 1 In 3.29, 3 Y 3.58
La (0.3175, 0.5000, 0.9524)  3 La 3.24-3.25, 1 In 3.29, 3 Y 3.58
La (0.6825, 0.5000, 0.0476)  3 La 3.24-3.25, 1 In 3.29, 3 Y 3.58
La (0.8175, 0.0000, 0.9524)  3 La 3.24-3.25, 1 In 3.29, 3 Y 3.58
Y (0.1057, 0.5000, 0.3178)  3 In 3.37-3.38, 3 La 3.58
Y (0.3943, 0.0000, 0.6822)  3 In 3.37-3.38, 3 La 3.58
Y (0.6057, 0.0000, 0.3178)  3 In 3.37-3.38, 3 La 3.58
Y (0.8943, 0.5000, 0.6822)  3 In 3.37-3.38, 3 La 3.58
In (0.0000, 0.0000, 0.5000)  2 La 3.29, 6 Y 3.37-3.38
In (0.5000, 0.5000, 0.5000)  2 La 3.29, 6 Y 3.37-3.38


3.
KCaIrO6 | PBE | optimized geometry

Results
The calculation puts the energy relative to the elements, uncorrected at -1.13 eV per atom. Its total energy is -5.77 eV per atom. The total moment is 0.0 μB per formula unit.

Cell: 5.7188 5.7188 5.6460 Å, 90.00 90.00 120.00°
Closest atoms and distances in Å follow each position.
Atoms (fractional coordinates):
K (0.0000, 0.0000, 0.0000)  6 O 2.80
Ca (0.3333, 0.6667, 0.5000)  6 O 2.32
Ir (0.6667, 0.3333, 0.5000)  6 O 1.87
O (0.4085, 0.0582, 0.6908)  1 Ir 1.87
O (0.4085, 0.3503, 0.3092)  1 Ir 1.87
O (0.6497, 0.0582, 0.3092)  1 Ir 1.87
O (0.6497, 0.5915, 0.6908)  1 Ir 1.87
O (0.9418, 0.3503, 0.6908)  1 Ir 1.87
O (0.9418, 0.5915, 0.3092)  1 Ir 1.87


4.
Tb3Ag3Hg2 | PBE | optimized geometry

Results
Its total energy is -3.18 eV per atom. The total moment is 0.0 μB per formula unit.

Cell: 7.5261 7.5261 3.9773 Å, 90.00 90.00 120.00°
Closest atoms and distances in Å follow each position.
Atoms (fractional coordinates):
Tb (0.0000, 0.3760, 0.0000)  4 Hg 3.09, 4 Ag 3.17
Tb (0.3760, 0.0000, 0.0000)  4 Hg 3.09, 4 Ag 3.17
Tb (0.6240, 0.6240, 0.0000)  4 Hg 3.09, 4 Ag 3.17
Ag (0.0000, 0.7740, 0.5000)  2 Ag 2.95, 2 Hg 3.00, 4 Tb 3.17
Ag (0.2260, 0.2260, 0.5000)  2 Ag 2.95, 2 Hg 3.00, 4 Tb 3.17
Ag (0.7740, 0.0000, 0.5000)  2 Ag 2.95, 2 Hg 3.00, 4 Tb 3.17
Hg (0.3333, 0.6667, 0.5000)  3 Ag 3.00, 6 Tb 3.09
Hg (0.6667, 0.3333, 0.5000)  3 Ag 3.00, 6 Tb 3.09


5.
CdPPdS2 | PBE | optimized geometry

Results
The calculation puts the energy relative to the elements, uncorrected at 1.18 eV per atom. Its total energy is -2.78 eV per atom. The total moment is 1.4 μB per formula unit. For the polymorph energy (0 for the lowest one), the calculation gives 712 meV per atom.

Cell: 4.9425 4.9425 4.9331 Å, 90.00 90.00 90.00°
Closest atoms and distances in Å follow each position.
Atoms (fractional coordinates):
Cd (0.0000, 0.0000, 0.0000)  2 P 2.47, 4 S 2.47
P (0.0000, 0.0000, 0.5000)  2 Cd 2.47
Pd (0.5000, 0.5000, 0.5000)  8 S 3.49, 4 P 3.49
S (0.0000, 0.5000, 0.0000)  2 Cd 2.47
S (0.5000, 0.0000, 0.0000)  2 Cd 2.47


6.
Ce2TeS | PBE | optimized geometry

Results
The calculation puts the energy relative to the elements, uncorrected at -1.50 eV per atom. Its total energy is -6.29 eV per atom. The total moment is 2.6 μB per formula unit. For the polymorph energy (0 for the lowest one), the calculation gives 182 meV per atom.

Cell: 4.0657 4.0657 23.3176 Å, 90.00 90.00 120.00°
Closest atoms and distances in Å follow each position.
Atoms (fractional coordinates):
Ce (0.0000, 0.0000, 0.0000)  3 S 2.97, 3 Te 3.15
Ce (0.0000, 0.0000, 0.1548)  3 S 2.95, 3 Te 3.13
Ce (0.3333, 0.6667, 0.6667)  3 S 2.97, 3 Te 3.15
Ce (0.3333, 0.6667, 0.8215)  3 S 2.95, 3 Te 3.13
Ce (0.6667, 0.3333, 0.3333)  3 S 2.97, 3 Te 3.15
Ce (0.6667, 0.3333, 0.4882)  3 S 2.95, 3 Te 3.13
Te (0.0000, 0.0000, 0.5768)  6 Ce 3.13-3.15
Te (0.3333, 0.6667, 0.2434)  6 Ce 3.13-3.15
Te (0.6667, 0.3333, 0.9101)  6 Ce 3.13-3.15
S (0.0000, 0.0000, 0.7450)  6 Ce 2.95-2.97
S (0.3333, 0.6667, 0.4117)  6 Ce 2.95-2.97
S (0.6667, 0.3333, 0.0784)  6 Ce 2.95-2.97